Density functional theory data (PBE-GGA) for a relaxed structure of OsPb2O6.

Lattice parameters (Å, degrees): 4.920 9.058 6.485 90.00 116.77 90.00
Space group P2_1/c (No. 14)
Symmetry-distinct sites (fractional):
Os: 0.000 0.000 0.000
Pb: 0.345 0.137 0.588
O: 0.000 0.060 0.718
O: 0.262 0.654 0.531
O: 0.341 0.118 0.190

## Properties
* calculated total energy: -6.337 eV/atom
* crystal system: monoclinic